# Hf2Ga4Ag

A geometry-optimized Hf2Ga4Ag structure (PBE, the Alexandria database).

Output
ΔH_f (0 K) = 32.52 kJ/mol of atoms
total magnetization = 0.0 μB/f.u.

POSCAR file:
```
Hf2Ga4Ag
1.0
4.9291 0.0000 0.0000
0.0000 4.9291 0.0000
2.4646 2.4646 6.7162
Ga Ag Hf
4 1 2
Direct
0.5000 0.0000 0.0000 Ga
0.1930 0.1930 0.6140 Ga
0.0000 0.5000 0.0000 Ga
0.8070 0.8070 0.3860 Ga
0.0000 0.0000 0.0000 Ag
0.6034 0.6034 0.7932 Hf
0.3966 0.3966 0.2068 Hf
```